PBE NdLuCl, relaxed; Fermi-level density of states = 1.0806 states/eV per atom; symmetry = P3m1 (156); E_form (uncorrected) = -0.891 eV per atom
1.0
3.6592 0.0000 0.0000
-1.8296 3.1690 0.0000
0.0000 0.0000 7.1646
Nd Lu Cl
1 1 1
Direct
0.0000 0.0000 0.0000 Nd
0.6667 0.3333 0.3771 Lu
0.3333 0.6667 0.6645 Cl

=====

PBE LuSeClO3, relaxed; Fermi-level density of states = 0.0000 states/eV per atom; symmetry = Pnma (62); E_form (uncorrected) = -2.047 eV per atom
1.0
7.2929 0.0000 0.0000
0.0000 6.8665 0.0000
0.0000 0.0000 8.6848
Lu Se Cl O
4 4 4 12
Direct
0.0984 0.2500 0.0401 Lu
0.4016 0.7500 0.5401 Lu
0.5984 0.2500 0.4599 Lu
0.9016 0.7500 0.9599 Lu
0.2107 0.2500 0.6340 Se
0.2893 0.7500 0.1340 Se
0.7107 0.2500 0.8660 Se
0.7893 0.7500 0.3660 Se
0.0700 0.7500 0.6852 Cl
0.4300 0.2500 0.1852 Cl
0.5700 0.7500 0.8148 Cl
0.9300 0.2500 0.3148 Cl
0.1370 0.5706 0.0686 O
0.1370 0.9294 0.0686 O
0.2492 0.2500 0.8268 O
0.2508 0.7500 0.3268 O
0.3630 0.0706 0.5686 O
0.3630 0.4294 0.5686 O
0.6370 0.5706 0.4314 O
0.6370 0.9294 0.4314 O
0.7492 0.2500 0.6732 O
0.7508 0.7500 0.1732 O
0.8630 0.0706 0.9314 O
0.8630 0.4294 0.9314 O

=====

PBE Lu2OsCl, relaxed; energy above the most stable polymorph in this dataset = 0.152 eV/atom; Fermi-level density of states = 0.6282 states/eV per atom; symmetry = R-3m (166); E_form (uncorrected) = -0.690 eV per atom
1.0
1.9358 1.1176 7.3748
-1.9358 1.1176 7.3748
0.0000 -2.2352 7.3748
Lu Os Cl
2 1 1
Direct
0.2348 0.2348 0.2348 Lu
0.7652 0.7652 0.7652 Lu
0.5000 0.5000 0.5000 Os
0.0000 0.0000 0.0000 Cl

=====

PBE Lu2OsCl, relaxed; energy above the most stable polymorph in this dataset = 0.000 eV/atom; Fermi-level density of states = 0.2565 states/eV per atom; symmetry = P4/mmm (123); E_form (uncorrected) = -0.842 eV per atom
1.0
3.2999 0.0000 0.0000
0.0000 3.2999 0.0000
0.0000 0.0000 7.8880
Lu Os Cl
2 1 1
Direct
0.0000 0.0000 0.2081 Lu
0.0000 0.0000 0.7919 Lu
0.5000 0.5000 0.0000 Os
0.5000 0.5000 0.5000 Cl

=====

PBE Pr3LuCl, relaxed; Fermi-level density of states = 0.9189 states/eV per atom; symmetry = Pm-3m (221); E_form (uncorrected) = -0.480 eV per atom
1.0
5.4906 0.0000 0.0000
0.0000 5.4906 0.0000
0.0000 0.0000 5.4906
Pr Lu Cl
3 1 1
Direct
0.0000 0.0000 0.5000 Pr
0.0000 0.5000 0.0000 Pr
0.5000 0.0000 0.0000 Pr
0.5000 0.5000 0.5000 Lu
0.0000 0.0000 0.0000 Cl

=====

PBE Lu2PtCl, relaxed; Fermi-level density of states = 0.4220 states/eV per atom; symmetry = R-3m (166); E_form (uncorrected) = -1.381 eV per atom
1.0
2.0897 1.2065 7.8917
-2.0897 1.2065 7.8917
0.0000 -2.4129 7.8917
Lu Pt Cl
2 1 1
Direct
0.1102 0.1102 0.1102 Lu
0.8898 0.8898 0.8898 Lu
0.5000 0.5000 0.5000 Pt
0.0000 0.0000 0.0000 Cl

=====

PBE Lu2PuCl, relaxed; Fermi-level density of states = 1.7151 states/eV per atom; symmetry = R-3m (166); E_form (uncorrected) = -0.568 eV per atom
1.0
1.7373 1.0031 9.6874
-1.7373 1.0031 9.6874
0.0000 -2.0061 9.6874
Lu Pu Cl
2 1 1
Direct
0.2419 0.2419 0.2419 Lu
0.7581 0.7581 0.7581 Lu
0.0000 0.0000 0.0000 Pu
0.5000 0.5000 0.5000 Cl

=====

PBE Rb2LuCl5, relaxed; Fermi-level density of states = 0.0000 states/eV per atom; symmetry = Pnma (62); E_form (uncorrected) = -2.164 eV per atom
1.0
9.5886 0.0000 0.0000
0.0000 7.3290 0.0000
0.0000 0.0000 14.8517
Rb Lu Cl
8 4 20
Direct
0.0283 0.2500 0.2117 Rb
0.1624 0.7500 0.4150 Rb
0.3376 0.2500 0.9150 Rb
0.4717 0.7500 0.7117 Rb
0.5283 0.2500 0.2883 Rb
0.6624 0.7500 0.0850 Rb
0.8376 0.2500 0.5850 Rb
0.9717 0.7500 0.7883 Rb
0.1825 0.7500 0.0609 Lu
0.3175 0.2500 0.5609 Lu
0.6825 0.7500 0.4391 Lu
0.8175 0.2500 0.9391 Lu
0.0000 0.0000 0.0000 Cl
0.0000 0.5000 0.0000 Cl
0.0368 0.7500 0.2042 Cl
0.1586 0.5043 0.6109 Cl
0.1586 0.9957 0.6109 Cl
0.2223 0.2500 0.3970 Cl
0.2777 0.7500 0.8970 Cl
0.3414 0.0043 0.1109 Cl
0.3414 0.4957 0.1109 Cl
0.4632 0.2500 0.7042 Cl
0.5000 0.0000 0.5000 Cl
0.5000 0.5000 0.5000 Cl
0.5368 0.7500 0.2958 Cl
0.6586 0.5043 0.8891 Cl
0.6586 0.9957 0.8891 Cl
0.7223 0.2500 0.1030 Cl
0.7777 0.7500 0.6030 Cl
0.8414 0.0043 0.3891 Cl
0.8414 0.4957 0.3891 Cl
0.9632 0.2500 0.7958 Cl

=====

PBE Rb2LuCl4, relaxed; Fermi-level density of states = 0.3927 states/eV per atom; symmetry = I4/mmm (139); E_form (uncorrected) = -1.849 eV per atom
1.0
-2.6263 2.6263 8.5049
2.6263 -2.6263 8.5049
2.6263 2.6263 -8.5049
Rb Lu Cl
2 1 4
Direct
0.1451 0.1451 0.0000 Rb
0.8549 0.8549 0.0000 Rb
0.5000 0.5000 0.0000 Lu
0.0000 0.5000 0.5000 Cl
0.3457 0.3457 0.0000 Cl
0.5000 0.0000 0.5000 Cl
0.6543 0.6543 0.0000 Cl

=====

PBE LuSCl, relaxed; Fermi-level density of states = 0.0000 states/eV per atom; symmetry = P3m1 (156); E_form (uncorrected) = -2.090 eV per atom
1.0
3.9112 0.0000 0.0000
-1.9556 3.3872 0.0000
0.0000 0.0000 6.4605
Lu S Cl
1 1 1
Direct
0.0000 0.0000 0.0000 Lu
0.3333 0.6667 0.8073 S
0.6667 0.3333 0.2495 Cl

=====

PBE LuSCl, relaxed; symmetry = I4mm (107); E_form (uncorrected) = -1.745 eV per atom
1.0
-1.6900 1.6900 6.7702
1.6900 -1.6900 6.7702
1.6900 1.6900 -6.7702
Lu S Cl
1 1 1
Direct
0.0000 0.0000 0.0000 Lu
0.4073 0.4073 0.0000 S
0.6341 0.6341 0.0000 Cl

=====

PBE Lu2ScCl, relaxed; Fermi-level density of states = 1.0618 states/eV per atom; symmetry = R-3m (166); E_form (uncorrected) = -0.600 eV per atom
1.0
1.7442 1.0070 9.4960
-1.7442 1.0070 9.4960
0.0000 -2.0140 9.4960
Lu Sc Cl
2 1 1
Direct
0.2431 0.2431 0.2431 Lu
0.7569 0.7569 0.7569 Lu
0.0000 0.0000 0.0000 Sc
0.5000 0.5000 0.5000 Cl

=====

PBE LuScCl, relaxed; Fermi-level density of states = 1.2234 states/eV per atom; symmetry = P3m1 (156); E_form (uncorrected) = -0.860 eV per atom
1.0
3.4971 0.0000 0.0000
-1.7485 3.0285 0.0000
0.0000 0.0000 6.6018
Lu Sc Cl
1 1 1
Direct
0.0000 0.0000 0.0000 Lu
0.6667 0.3333 0.3709 Sc
0.3333 0.6667 0.6731 Cl

=====

PBE LuSc2Cl, relaxed; Fermi-level density of states = 1.2210 states/eV per atom; symmetry = R-3m (166); E_form (uncorrected) = -0.593 eV per atom
1.0
1.7055 0.9847 9.2594
-1.7055 0.9847 9.2594
0.0000 -1.9693 9.2594
Lu Sc Cl
1 2 1
Direct
0.0000 0.0000 0.0000 Lu
0.2391 0.2391 0.2391 Sc
0.7609 0.7609 0.7609 Sc
0.5000 0.5000 0.5000 Cl

=====

PBE Lu2SeCl, relaxed; Fermi-level density of states = 0.4441 states/eV per atom; symmetry = R-3m (166); E_form (uncorrected) = -1.280 eV per atom
1.0
1.8817 1.0864 8.6787
-1.8817 1.0864 8.6787
0.0000 -2.1728 8.6787
Lu Se Cl
2 1 1
Direct
0.0977 0.0977 0.0977 Lu
0.9023 0.9023 0.9023 Lu
0.5000 0.5000 0.5000 Se
0.0000 0.0000 0.0000 Cl

=====

PBE Sm3LuCl, relaxed; Fermi-level density of states = 0.9317 states/eV per atom; symmetry = Pm-3m (221); E_form (uncorrected) = -0.467 eV per atom
1.0
5.3691 0.0000 0.0000
0.0000 5.3691 0.0000
0.0000 0.0000 5.3691
Sm Lu Cl
3 1 1
Direct
0.0000 0.0000 0.5000 Sm
0.0000 0.5000 0.0000 Sm
0.5000 0.0000 0.0000 Sm
0.5000 0.5000 0.5000 Lu
0.0000 0.0000 0.0000 Cl

=====

PBE SmLuCl, relaxed; Fermi-level density of states = 1.1201 states/eV per atom; symmetry = P3m1 (156); E_form (uncorrected) = -0.889 eV per atom
1.0
3.6498 0.0000 0.0000
-1.8249 3.1608 0.0000
0.0000 0.0000 7.0546
Sm Lu Cl
1 1 1
Direct
0.0000 0.0000 0.0000 Sm
0.3333 0.6667 0.3771 Lu
0.6667 0.3333 0.6736 Cl

=====

PBE Tb2LuCl, relaxed; Fermi-level density of states = 1.1065 states/eV per atom; symmetry = R-3m (166); E_form (uncorrected) = -0.644 eV per atom
1.0
1.7919 1.0345 9.9397
-1.7919 1.0345 9.9397
0.0000 -2.0691 9.9397
Tb Lu Cl
2 1 1
Direct
0.2404 0.2404 0.2404 Tb
0.7596 0.7596 0.7596 Tb
0.0000 0.0000 0.0000 Lu
0.5000 0.5000 0.5000 Cl

=====

PBE Tb3LuCl, relaxed; Fermi-level density of states = 1.1328 states/eV per atom; symmetry = Pm-3m (221); E_form (uncorrected) = -0.442 eV per atom
1.0
5.2728 0.0000 0.0000
0.0000 5.2728 0.0000
0.0000 0.0000 5.2728
Tb Lu Cl
3 1 1
Direct
0.0000 0.0000 0.5000 Tb
0.0000 0.5000 0.0000 Tb
0.5000 0.0000 0.0000 Tb
0.5000 0.5000 0.5000 Lu
0.0000 0.0000 0.0000 Cl

=====

PBE Lu2TcCl, relaxed; energy above the most stable polymorph in this dataset = 0.052 eV/atom; Fermi-level density of states = 0.6492 states/eV per atom; symmetry = R-3m (166); E_form (uncorrected) = -0.669 eV per atom
1.0
1.7466 1.0084 8.2151
-1.7466 1.0084 8.2151
0.0000 -2.0169 8.2151
Lu Tc Cl
2 1 1
Direct
0.2439 0.2439 0.2439 Lu
0.7561 0.7561 0.7561 Lu
0.5000 0.5000 0.5000 Tc
0.0000 0.0000 0.0000 Cl